Compound: TbNbBC2
Source: OQMD
Functional: PBE
Structure: relaxed

Cell: 3.4266 3.4266 5.8716 Å, 106.53 106.53 90.00°
Last column: nearest neighbours and their distance in Å.
Fractional coordinates of all 5 atoms:
B 0.9915 0.9915 0.9891  2 C 1.50-1.52
C 0.1390 0.1390 0.2719  1 B 1.52
C 0.8538 0.8538 0.7107  1 B 1.50
Nb 0.6629 0.6629 0.3183  1 C 2.11
Tb 0.3528 0.3528 0.7099  5 C 2.35-2.43

## Properties
**Calculated volume**: 12.6 Å³/atom
**Total energy**: -8.17 eV/atom


Compound: PrNd2Ni2B2C3
Source: OQMD
Functional: PBE
Structure: relaxed

Cell: 10.7324 10.7324 10.7324 Å, 159.96 159.96 28.50°
Last column: nearest neighbours and their distance in Å.
Fractional coordinates of all 10 atoms:
B 0.2005 0.2005 0.0000  1 C 1.49
B 0.7995 0.7995 0.0000  1 C 1.49
C 0.1290 0.1290 0.0000  1 B 1.49
C 0.5000 0.5000 0.0000  4 Pr 2.64, 2 Nd 2.67
C 0.8710 0.8710 0.0000  1 B 1.49
Nd 0.3719 0.3719 0.0000  5 C 2.64-2.67
Nd 0.6281 0.6281 0.0000  5 C 2.64-2.67
Ni 0.7500 0.2500 0.5000  4 B 2.13
Ni 0.2500 0.7500 0.5000  4 B 2.13
Pr 0.0000 0.0000 0.0000  6 C 2.64-2.68

## Properties
**Calculated volume**: 14.5 Å³/atom
**Total energy**: -6.89 eV/atom


Compound: Nd2SmNi2B2C3
Source: OQMD
Functional: PBE
Structure: relaxed

Cell: 10.6710 10.6710 10.6710 Å, 159.93 159.93 28.53°
Last column: nearest neighbours and their distance in Å.
Fractional coordinates of all 10 atoms:
B 0.1991 0.1991 0.0000  1 C 1.49
B 0.8009 0.8009 0.0000  1 C 1.49
C 0.1271 0.1271 0.0000  1 B 1.49
C 0.5000 0.5000 0.0000  2 Nd 2.61, 4 Sm 2.63
C 0.8729 0.8729 0.0000  1 B 1.49
Nd 0.3737 0.3737 0.0000  5 C 2.61-2.63
Nd 0.6263 0.6263 0.0000  5 C 2.61-2.63
Ni 0.7500 0.2500 0.5000  4 B 2.14
Ni 0.2500 0.7500 0.5000  4 B 2.14
Sm 0.0000 0.0000 0.0000  6 C 2.63

## Properties
**Calculated volume**: 14.3 Å³/atom
**Total energy**: -6.92 eV/atom


Compound: TbNd2Ni2B2C3
Source: OQMD
Functional: PBE
Structure: relaxed

Cell: 10.5892 10.5892 10.5892 Å, 159.92 159.92 28.55°
Last column: nearest neighbours and their distance in Å.
Fractional coordinates of all 10 atoms:
B 0.1979 0.1979 0.0000  1 C 1.48
B 0.8021 0.8021 0.0000  1 C 1.48
C 0.1256 0.1256 0.0000  1 B 1.48
C 0.5000 0.5000 0.0000  2 Nd 2.56, 4 Tb 2.61
C 0.8744 0.8744 0.0000  1 B 1.48
Nd 0.3751 0.3751 0.0000  5 C 2.56-2.61
Nd 0.6249 0.6249 0.0000  5 C 2.56-2.61
Ni 0.7500 0.2500 0.5000  4 B 2.13
Ni 0.2500 0.7500 0.5000  4 B 2.13
Tb 0.0000 0.0000 0.0000  6 C 2.58-2.61

## Properties
**Calculated volume**: 14.0 Å³/atom
**Total energy**: -6.93 eV/atom


Compound: Sm2Ni2B2PC
Source: OQMD
Functional: PBE
Structure: relaxed

Cell: 3.8507 3.8507 7.6374 Å, 90.00 90.00 90.00°
Last column: nearest neighbours and their distance in Å.
Fractional coordinates of all 8 atoms:
B 0.5000 0.5000 0.4127  1 P 1.92, 4 Ni 2.04
B 0.0000 0.0000 0.6347  1 C 1.50
C 0.0000 0.0000 0.8309  1 B 1.50
Ni 0.5000 0.0000 0.4992  4 B 2.04-2.19
Ni 0.0000 0.5000 0.4992  4 B 2.04-2.19
P 0.5000 0.5000 0.1615  1 B 1.92
Sm 0.0000 0.0000 0.1605  1 C 2.52, 4 P 2.72
Sm 0.5000 0.5000 0.8015  4 C 2.73, 1 P 2.75, 5 B 2.97-3.01, 4 Ni 3.01

## Properties
**Calculated volume**: 14.2 Å³/atom
**Total energy**: -6.61 eV/atom


Compound: Y2Ni2B2PC
Source: OQMD
Functional: PBE
Structure: relaxed

Cell: 3.7820 3.7820 7.6334 Å, 90.00 90.00 90.00°
Last column: nearest neighbours and their distance in Å.
Fractional coordinates of all 8 atoms:
B 0.5000 0.5000 0.4109  1 P 1.92, 4 Ni 2.01
B 0.0000 0.0000 0.6392  1 C 1.50
C 0.0000 0.0000 0.8351  1 B 1.50
Ni 0.5000 0.0000 0.4995  4 B 2.01-2.17
Ni 0.0000 0.5000 0.4995  4 B 2.01-2.17
P 0.5000 0.5000 0.1594  1 B 1.92
Y 0.0000 0.0000 0.1525  1 C 2.42, 4 P 2.67
Y 0.5000 0.5000 0.8040  4 C 2.68, 1 P 2.71, 5 B 2.96-3.00, 4 Ni 3.00

## Properties
**Calculated volume**: 13.6 Å³/atom
**Total energy**: -7.09 eV/atom


Compound: TmScNi2B2C2
Source: OQMD
Functional: PBE
Structure: relaxed

Cell: 3.4699 3.4699 7.4892 Å, 90.00 90.00 90.00°
Last column: nearest neighbours and their distance in Å.
Fractional coordinates of all 8 atoms:
B 0.5000 0.5000 0.1503  1 C 1.48
B 0.0000 0.0000 0.8463  1 C 1.50
C 0.5000 0.5000 0.3483  1 B 1.48
C 0.0000 0.0000 0.6464  1 B 1.50
Ni 0.5000 0.0000 0.0014  4 B 2.06-2.09
Ni 0.0000 0.5000 0.0014  4 B 2.06-2.09
Sc 0.0000 0.0000 0.3452  5 C 2.26-2.45
Tm 0.5000 0.5000 0.6608  5 C 2.34-2.46

## Properties
**Calculated volume**: 11.3 Å³/atom
**Total energy**: -7.26 eV/atom


Compound: TbSm2Ni2B2C3
Source: OQMD
Functional: PBE
Structure: relaxed

Cell: 10.5617 10.5617 10.5617 Å, 160.09 160.09 28.30°
Last column: nearest neighbours and their distance in Å.
Fractional coordinates of all 10 atoms:
B 0.1974 0.1974 0.0000  1 C 1.49
B 0.8026 0.8026 0.0000  1 C 1.49
C 0.1248 0.1248 0.0000  1 B 1.49
C 0.5000 0.5000 0.0000  2 Sm 2.54, 4 Tb 2.58
C 0.8752 0.8752 0.0000  1 B 1.49
Ni 0.7500 0.2500 0.5000  4 B 2.12
Ni 0.2500 0.7500 0.5000  4 B 2.12
Sm 0.3759 0.3759 0.0000  5 C 2.54-2.58
Sm 0.6241 0.6241 0.0000  5 C 2.54-2.58
Tb 0.0000 0.0000 0.0000  6 C 2.56-2.58

## Properties
**Calculated volume**: 13.7 Å³/atom
**Total energy**: -6.97 eV/atom


> Among the records above, which one has the highest total energy?

Sm2Ni2B2PC


Copy entry 5 word for word.
Compound: Sm2Ni2B2PC
Source: OQMD
Functional: PBE
Structure: relaxed

Cell: 3.8507 3.8507 7.6374 Å, 90.00 90.00 90.00°
Last column: nearest neighbours and their distance in Å.
Fractional coordinates of all 8 atoms:
B 0.5000 0.5000 0.4127  1 P 1.92, 4 Ni 2.04
B 0.0000 0.0000 0.6347  1 C 1.50
C 0.0000 0.0000 0.8309  1 B 1.50
Ni 0.5000 0.0000 0.4992  4 B 2.04-2.19
Ni 0.0000 0.5000 0.4992  4 B 2.04-2.19
P 0.5000 0.5000 0.1615  1 B 1.92
Sm 0.0000 0.0000 0.1605  1 C 2.52, 4 P 2.72
Sm 0.5000 0.5000 0.8015  4 C 2.73, 1 P 2.75, 5 B 2.97-3.01, 4 Ni 3.01

## Properties
**Calculated volume**: 14.2 Å³/atom
**Total energy**: -6.61 eV/atom